Entry 1:
Entry from Alexandria: an optimized crystal structure of Rb3In8Ag3 (PBE-GGA).

Cell: 5.027 9.601 9.601 Å, 75.87 74.82 74.82°
Fractional coordinates of all 14 atoms:
Rb 0.500 0.500 0.500
Rb 0.821 0.179 0.179
Rb 0.179 0.821 0.821
In 0.611 0.102 0.676
In 0.389 0.898 0.324
In 0.611 0.676 0.102
In 0.389 0.324 0.898
In 0.818 0.832 0.532
In 0.182 0.168 0.468
In 0.818 0.532 0.832
In 0.182 0.468 0.168
Ag 0.500 0.000 0.000
Ag 0.000 0.757 0.243
Ag 0.000 0.243 0.757

Summary:
space group	Immm (71)
formation enthalpy at 0 K	-59	meV/atom

Entry 2:
Entry from Alexandria: an optimized crystal structure of RbInAg (PBE-GGA).

Cell: 3.945 3.945 7.036 Å, 106.28 106.28 90.00°
Fractional coordinates of all 3 atoms:
Ag 0.282 0.282 0.564
Rb 0.001 0.001 0.002
In 0.717 0.717 0.434

Summary:
space group	I4mm (107)
formation enthalpy at 0 K	24	meV/atom

Which of these has the lowest formation enthalpy at 0 K? Rb3In8Ag3